No. 1
CsRe2OsW | PBE | relaxed

Cell: 4.8103 4.7856 4.8103 Å, 90.00 90.00 90.00°
Element x y z (fractional)
1 Cs 0.0000 0.0000 0.0000
2 Re 0.0000 0.0000 0.5000
3 Re 0.5000 0.0000 0.0000
4 Os 0.0000 0.5000 0.0000
5 W 0.5000 0.5000 0.5000

Properties
For the formation energy, the calculation gives 21.95 eV per formula unit. Its calculated total energy is -5.596 eV per atom.

---

No. 2
PmTmAlOs | PBE | relaxed

Cell: 4.9778 4.9778 4.9778 Å, 60.00 60.00 60.00°
Element x y z (fractional)
1 Tm 0.0000 0.0000 0.0000
2 Os 0.2500 0.2500 0.2500
3 Al 0.7500 0.7500 0.7500
4 Pm 0.5000 0.5000 0.5000

Properties
For the formation energy, the calculation gives -0.83 eV per formula unit. Its calculated total energy is -6.256 eV per atom.

---

No. 3
Ir2CCl | PBE | relaxed

Cell: 4.1640 4.1640 4.1640 Å, 60.00 60.00 60.00°
Element x y z (fractional)
1 C 0.0000 0.0000 0.0000
2 Ir 0.2500 0.2500 0.2500
3 Ir 0.7500 0.7500 0.7500
4 Cl 0.5000 0.5000 0.5000

Properties
Its calculated total energy is -5.367 eV per atom. The value obtained for the uncorrected formation energy is 7.33 eV per formula unit. The calculation puts the energy above the lowest structure with this stoichiometry at 1080 meV per atom.

---

No. 4
UTiNi2 | PBE | relaxed

Cell: 4.2665 4.2665 4.9008 Å, 64.20 64.20 60.00°
Element x y z (fractional)
1 Ni 0.2852 0.2852 0.1443
2 Ni 0.7148 0.7148 0.8557
3 U 0.5000 0.5000 0.5000
4 Ti 0.0000 0.0000 0.0000

Properties
For the formation energy, the calculation gives -0.24 eV per formula unit. Its calculated total energy is -7.748 eV per atom. The calculation puts the energy above the lowest structure with this stoichiometry at 106 meV per atom.

---

No. 5
MnNi2SN | PBE | relaxed

Cell: 4.3874 4.3874 4.0023 Å, 90.00 90.00 90.00°
Element x y z (fractional)
1 Ni 0.0000 0.5000 0.0000
2 Ni 0.5000 0.0000 0.0000
3 S 0.0000 0.0000 0.5000
4 Mn 0.0000 0.0000 0.0000
5 N 0.5000 0.5000 0.5000

Properties
Its calculated total energy is -4.870 eV per atom. The value obtained for the uncorrected formation energy is 8.83 eV per formula unit.

---

No. 6
PH4Cl3 | PBE | relaxed

Cell: 5.8695 8.1440 6.8971 Å, 90.00 90.00 90.00°
Element x y z (fractional)
1 P 0.0020 0.0735 0.0000
2 P 0.5020 0.9265 0.5000
3 H 0.2021 0.9706 0.0000
4 H 0.8020 0.9706 0.0000
5 H 0.0021 0.1681 0.1753
6 H 0.5021 0.8319 0.3247
7 H 0.3020 0.0294 0.5000
8 H 0.7021 0.0294 0.5000
9 H 0.5021 0.8319 0.6753
10 H 0.0021 0.1681 0.8247
11 Cl 0.5020 0.8072 0.0000
12 Cl 0.0015 0.6565 0.3551
13 Cl 0.5015 0.3435 0.1449
14 Cl 0.0020 0.1928 0.5000
15 Cl 0.5015 0.3435 0.8551
16 Cl 0.0015 0.6565 0.6449

Properties
Its calculated total energy is -3.177 eV per atom.

---

No. 7
VTcIr | PBE | relaxed

Cell: 5.1546 4.7587 8.2357 Å, 90.00 122.50 90.00°
Element x y z (fractional)
1 Ir 0.0000 0.9900 0.0000
2 Ir 0.0000 0.4900 0.5000
3 Ir 0.5000 0.6433 0.5000
4 Ir 0.5000 0.1433 0.0000
5 Tc 0.9801 0.4863 0.1621
6 Tc 0.0199 0.4863 0.8379
7 Tc 0.9801 0.9863 0.6621
8 Tc 0.0199 0.9863 0.3379
9 V 0.5133 0.1548 0.3384
10 V 0.4867 0.1548 0.6616
11 V 0.5133 0.6548 0.8384
12 V 0.4867 0.6548 0.1616

Properties
For the formation energy, the calculation gives -0.83 eV per formula unit. Its calculated total energy is -9.727 eV per atom. The calculation puts the energy above the lowest structure with this stoichiometry at 10 meV per atom.